Density functional theory data (PBE) for a relaxed structure of PmYPtRh.

Properties
energy above the most stable polymorph in this dataset	0.17	eV per formula unit
energy of formation	-0.95	eV/atom
size of the total moment	0.000	μB per formula unit
mass density	10.19	g cm⁻³
space-group type	F-43m

a = 4.9677 Å, b = 4.9677 Å, c = 4.9677 Å
α = 60.00°, β = 60.00°, γ = 60.00°
Closest atoms and distances in Å follow each position.
Fractional coordinates of all 4 atoms:
1 Pm 0.0000 0.0000 0.0000  4 Pt 3.04, 4 Rh 3.04
2 Y 0.5000 0.5000 0.5000  4 Rh 3.04, 4 Pt 3.04
3 Pt 0.7500 0.7500 0.7500  4 Y 3.04, 4 Pm 3.04
4 Rh 0.2500 0.2500 0.2500  4 Y 3.04, 4 Pm 3.04

***

Density functional theory data (PBE) for a relaxed structure of Ho7Co2Ag2.

Properties
energy above the most stable polymorph in this dataset	0.00	eV per formula unit
energy of formation	-0.19	eV/atom
size of the total moment	0.001	μB per formula unit
mass density	9.08	g cm⁻³
space-group type	Imm2

a = 9.3754 Å, b = 9.3754 Å, c = 9.3754 Å
α = 157.68°, β = 65.90°, γ = 118.90°
Closest atoms and distances in Å follow each position.
Fractional coordinates of all 11 atoms:
1 Ho 0.0000 0.0000 0.0000  3 Ag 3.07-3.14
2 Ho 0.2969 0.4249 0.8720  2 Co 2.71
3 Ho 0.3039 0.6174 0.6865  3 Co 2.80-3.03
4 Ho 0.5529 0.4249 0.1280  2 Co 2.71
5 Ho 0.6224 0.2693 0.3531  2 Co 2.75
6 Ho 0.9162 0.2693 0.6469  2 Co 2.75
7 Ho 0.9310 0.6174 0.3135  3 Co 2.80-3.03
8 Co 0.1587 0.9145 0.2442  7 Ho 2.71-3.03
9 Co 0.6703 0.9145 0.7558  7 Ho 2.71-3.03
10 Ag 0.2597 0.7597 0.5000  8 Ho 3.07-3.23
11 Ag 0.6705 0.6705 0.0000  7 Ho 3.09-3.14

***

Density functional theory data (PBE) for a relaxed structure of Ce3PuSe4.

Properties
energy above the most stable polymorph in this dataset	0.00	eV per formula unit
formation energy (no corrections)	-1.747	eV per atom
size of the total moment	8.547	μB per formula unit
mass density	7.84	g cm⁻³
space-group type	P2/c

a = 7.2641 Å, b = 8.3607 Å, c = 7.2521 Å
α = 90.00°, β = 109.39°, γ = 90.00°
Closest atoms and distances in Å follow each position.
Fractional coordinates of all 16 atoms:
1 Ce 0.0000 0.1249 0.2500  6 Se 2.96-2.99
2 Ce 0.0000 0.3746 0.7500  6 Se 2.96-2.99
3 Ce 0.0000 0.6254 0.2500  6 Se 2.96-2.99
4 Ce 0.0000 0.8751 0.7500  6 Se 2.96-2.99
5 Ce 0.5000 0.1250 0.7500  6 Se 2.96
6 Ce 0.5000 0.8750 0.2500  6 Se 2.96
7 Pu 0.5000 0.3742 0.2500  6 Se 2.93-2.94
8 Pu 0.5000 0.6258 0.7500  6 Se 2.93-2.94
9 Se 0.2521 0.1272 0.0024  1 Pu 2.93, 5 Ce 2.96-2.99
10 Se 0.2521 0.8728 0.5024  1 Pu 2.93, 5 Ce 2.96-2.99
11 Se 0.2548 0.3776 0.5000  2 Pu 2.93-2.94, 4 Ce 2.96-2.99
12 Se 0.2548 0.6224 0.0000  2 Pu 2.93-2.94, 4 Ce 2.96-2.99
13 Se 0.7452 0.3776 0.0000  2 Pu 2.93-2.94, 4 Ce 2.96-2.99
14 Se 0.7452 0.6224 0.5000  2 Pu 2.93-2.94, 4 Ce 2.96-2.99
15 Se 0.7479 0.1272 0.4976  1 Pu 2.93, 5 Ce 2.96-2.99
16 Se 0.7479 0.8728 0.9976  1 Pu 2.93, 5 Ce 2.96-2.99

***

Density functional theory data (PBE) for a relaxed structure of Li2LaTa.

Properties
energy above the most stable polymorph in this dataset	0.79	eV per formula unit
energy of formation	0.54	eV/atom
size of the total moment	0.001	μB per formula unit
mass density	6.68	g cm⁻³
space-group type	P4/mmm

a = 2.9696 Å, b = 2.9696 Å, c = 9.4139 Å
α = 90.00°, β = 90.00°, γ = 90.00°
Closest atoms and distances in Å follow each position.
Fractional coordinates of all 4 atoms:
1 Li 0.0000 0.0000 0.2173  4 Ta 2.93, 4 Li 2.97
2 Li 0.0000 0.0000 0.7827  4 Ta 2.93, 4 Li 2.97
3 La 0.5000 0.5000 0.5000  4 La 2.97
4 Ta 0.5000 0.5000 0.0000  8 Li 2.93, 4 Ta 2.97

***

Density functional theory data (PBE) for a relaxed structure of LaGdHgRh.

Properties
energy of formation	-0.55	eV/atom
size of the total moment	7.119	μB per formula unit
mass density	9.96	g cm⁻³
space-group type	F-43m

a = 5.2089 Å, b = 5.2089 Å, c = 5.2089 Å
α = 60.00°, β = 60.00°, γ = 60.00°
Closest atoms and distances in Å follow each position.
Fractional coordinates of all 4 atoms:
1 La 0.0000 0.0000 0.0000  4 Hg 3.19, 4 Rh 3.19
2 Gd 0.5000 0.5000 0.5000  4 Rh 3.19, 4 Hg 3.19
3 Hg 0.7500 0.7500 0.7500  4 Gd 3.19, 4 La 3.19
4 Rh 0.2500 0.2500 0.2500  4 Gd 3.19, 4 La 3.19

***

Density functional theory data (PBE) for a relaxed structure of Ba3CaBi2O6.

Properties
formation energy (no corrections)	-2.003	eV per atom
size of the total moment	0.000	μB per formula unit
mass density	6.67	g cm⁻³
space-group type	P-3m1

a = 6.2134 Å, b = 6.2134 Å, c = 7.1920 Å
α = 90.00°, β = 90.00°, γ = 120.00°
Closest atoms and distances in Å follow each position.
Fractional coordinates of all 12 atoms:
1 Ba 0.0000 0.0000 0.0000  6 O 2.91
2 Ba 0.3333 0.6667 0.6195  3 O 2.81
3 Ba 0.6667 0.3333 0.3805  3 O 2.81
4 Ca 0.0000 0.0000 0.5000  6 O 2.31
5 Bi 0.3333 0.6667 0.1284  3 O 2.16
6 Bi 0.6667 0.3333 0.8716  3 O 2.16
7 O 0.1736 0.3473 0.3107  1 Bi 2.16, 1 Ca 2.31
8 O 0.1736 0.8264 0.3107  1 Bi 2.16, 1 Ca 2.31
9 O 0.3473 0.1736 0.6893  1 Bi 2.16, 1 Ca 2.31
10 O 0.6527 0.8264 0.3107  1 Bi 2.16, 1 Ca 2.31
11 O 0.8264 0.1736 0.6893  1 Bi 2.16, 1 Ca 2.31
12 O 0.8264 0.6527 0.6893  1 Bi 2.16, 1 Ca 2.31

***

Density functional theory data (PBE) for a relaxed structure of Tb4Pr5Sc.

Properties
energy above the most stable polymorph in this dataset	1.12	eV per formula unit
energy of formation	0.14	eV/atom
size of the total moment	0.000	μB per formula unit
mass density	6.70	g cm⁻³
space-group type	C2/m

a = 9.3232 Å, b = 9.3232 Å, c = 10.4254 Å
α = 95.55°, β = 95.55°, γ = 22.37°
Closest atoms and distances in Å follow each position.
Fractional coordinates of all 10 atoms:
1 Tb 0.0440 0.0440 0.2705  2 Sc 3.17, 4 Pr 3.34-3.38, 2 Tb 3.34
2 Tb 0.3188 0.3188 0.5837  6 Tb 3.34-3.62, 1 Sc 3.51, 1 Pr 3.72
3 Tb 0.6812 0.6812 0.4163  6 Tb 3.34-3.62, 1 Sc 3.51, 1 Pr 3.72
4 Tb 0.9560 0.9560 0.7295  2 Sc 3.17, 4 Pr 3.34-3.38, 2 Tb 3.34
5 Pr 0.1404 0.1404 0.7263  2 Tb 3.38-3.72, 2 Pr 3.62, 2 Sc 3.77
6 Pr 0.1898 0.1898 0.1019  1 Tb 3.34, 4 Pr 3.62-3.68
7 Pr 0.5000 0.5000 0.0000  4 Tb 3.38, 2 Pr 3.62
8 Pr 0.8102 0.8102 0.8981  1 Tb 3.34, 4 Pr 3.62-3.68
9 Pr 0.8596 0.8596 0.2737  2 Tb 3.38-3.72, 2 Pr 3.62, 2 Sc 3.77
10 Sc 0.5000 0.5000 0.5000  6 Tb 3.17-3.51

***

Density functional theory data (PBE) for a relaxed structure of Si2TcW.

Properties
energy above the most stable polymorph in this dataset	1.69	eV per formula unit
formation energy (no corrections)	0.046	eV per atom
size of the total moment	0.000	μB per formula unit
mass density	9.75	g cm⁻³
space-group type	Pmmm

a = 3.0411 Å, b = 3.9262 Å, c = 4.8224 Å
α = 90.00°, β = 90.00°, γ = 90.00°
Closest atoms and distances in Å follow each position.
Fractional coordinates of all 4 atoms:
1 Si 0.0000 0.0000 0.0000  4 W 2.48
2 Si 0.5000 0.0000 0.5000  4 Tc 2.48
3 Tc 0.0000 0.5000 0.5000  4 Si 2.48
4 W 0.5000 0.5000 0.0000  4 Si 2.48

***

Density functional theory data (PBE) for a relaxed structure of Ba2LiTeS4.

Properties
formation energy (no corrections)	-1.139	eV per atom
size of the total moment	0.000	μB per formula unit
mass density	3.93	g cm⁻³
space-group type	C2/c

a = 8.2370 Å, b = 8.2370 Å, c = 8.6263 Å
α = 116.46°, β = 116.46°, γ = 90.20°
Closest atoms and distances in Å follow each position.
Fractional coordinates of all 16 atoms:
1 Ba 0.0000 0.0000 0.0000  6 S 3.11-3.21
2 Ba 0.0000 0.0000 0.5000  6 S 3.11-3.21
3 Ba 0.0000 0.5000 0.0000  6 S 3.13-3.21
4 Ba 0.5000 0.0000 0.5000  6 S 3.13-3.21
5 Li 0.5000 0.5000 0.0000  4 S 2.73-2.75
6 Li 0.5000 0.5000 0.5000  4 S 2.73-2.75
7 Te 0.0000 0.5000 0.5000  4 S 2.67-2.73
8 Te 0.5000 0.0000 0.0000  4 S 2.67-2.73
9 S 0.2338 0.7026 0.4784  1 Te 2.67, 1 Li 2.75
10 S 0.2375 0.2721 0.4758  1 Te 2.73, 1 Li 2.73
11 S 0.2721 0.2375 0.9758  1 Te 2.73, 1 Li 2.73
12 S 0.2974 0.7662 0.0216  1 Te 2.67, 1 Li 2.75
13 S 0.7026 0.2338 0.9784  1 Te 2.67, 1 Li 2.75
14 S 0.7279 0.7625 0.0242  1 Te 2.73, 1 Li 2.73
15 S 0.7625 0.7279 0.5242  1 Te 2.73, 1 Li 2.73
16 S 0.7662 0.2974 0.5216  1 Te 2.67, 1 Li 2.75

***

Density functional theory data (PBE) for a relaxed structure of MgRe2Se.

Properties
energy above the most stable polymorph in this dataset	2.46	eV per formula unit
formation energy (no corrections)	0.708	eV per atom
size of the total moment	0.000	μB per formula unit
mass density	11.95	g cm⁻³
space-group type	Pmmm

a = 2.9446 Å, b = 4.2473 Å, c = 5.2839 Å
α = 90.00°, β = 90.00°, γ = 90.00°
Closest atoms and distances in Å follow each position.
Fractional coordinates of all 4 atoms:
1 Mg 0.0000 0.0000 0.0000  2 Se 2.64, 8 Re 2.85, 2 Mg 2.94
2 Re 0.5000 0.5000 0.2281  1 Re 2.41
3 Re 0.5000 0.5000 0.7719  1 Re 2.41
4 Se 0.0000 0.0000 0.5000  2 Mg 2.64, 2 Se 2.94, 8 Re 2.96

***

Density functional theory data (PBE) for a relaxed structure of CsTiIn2F8.

Properties
formation energy (no corrections)	-2.695	eV per atom
size of the total moment	0.000	μB per formula unit
mass density	4.06	g cm⁻³
space-group type	P-1

a = 5.5615 Å, b = 5.7532 Å, c = 7.2472 Å
α = 92.03°, β = 95.78°, γ = 92.69°
Closest atoms and distances in Å follow each position.
Fractional coordinates of all 12 atoms:
1 Cs 0.0000 0.0000 0.0000  8 F 2.94-3.10
2 Ti 0.0000 0.0000 0.5000  6 F 1.86-1.93
3 In 0.4736 0.5102 0.7335  4 F 2.26-2.44
4 In 0.5264 0.4898 0.2665  4 F 2.26-2.44
5 F 0.1249 0.2502 0.6726  1 Ti 1.93
6 F 0.1546 0.7770 0.6535  1 Ti 1.91
7 F 0.2725 0.0374 0.3717  1 Ti 1.86
8 F 0.4570 0.7112 0.0050  2 In 2.26-2.33, 1 F 2.50
9 F 0.5430 0.2888 0.9950  2 In 2.26-2.33, 1 F 2.50
10 F 0.7275 0.9626 0.6283  1 Ti 1.86
11 F 0.8454 0.2230 0.3465  1 Ti 1.91
12 F 0.8751 0.7498 0.3274  1 Ti 1.93

***

Density functional theory data (PBE) for a relaxed structure of Hg6IBr2.

Properties
formation energy (no corrections)	-0.170	eV per atom
size of the total moment	0.000	μB per formula unit
mass density	7.71	g cm⁻³
space-group type	P2_1/c

a = 6.9841 Å, b = 8.2066 Å, c = 11.4166 Å
α = 90.00°, β = 101.22°, γ = 90.00°
Closest atoms and distances in Å follow each position.
Fractional coordinates of all 18 atoms:
1 Hg 0.0605 0.0509 0.2535  1 Hg 2.79, 1 I 2.96
2 Hg 0.0605 0.4491 0.7535  1 Hg 2.79, 1 I 2.96
3 Hg 0.1875 0.1149 0.0413  2 Hg 2.77-2.79
4 Hg 0.1875 0.3851 0.5413  2 Hg 2.77-2.79
5 Hg 0.3492 0.1416 0.8394  1 Br 2.72, 1 Hg 2.77
6 Hg 0.3492 0.3584 0.3394  1 Br 2.72, 1 Hg 2.77
7 Hg 0.6508 0.6416 0.6606  1 Br 2.72, 1 Hg 2.77
8 Hg 0.6508 0.8584 0.1606  1 Br 2.72, 1 Hg 2.77
9 Hg 0.8125 0.6149 0.4587  2 Hg 2.77-2.79
10 Hg 0.8125 0.8851 0.9587  2 Hg 2.77-2.79
11 Hg 0.9395 0.5509 0.2465  1 Hg 2.79, 1 I 2.96
12 Hg 0.9395 0.9491 0.7465  1 Hg 2.79, 1 I 2.96
13 I 0.0000 0.0000 0.5000  2 Hg 2.96
14 I 0.0000 0.5000 0.0000  2 Hg 2.96
15 Br 0.4055 0.7310 0.8073  1 Hg 2.72
16 Br 0.4055 0.7690 0.3073  1 Hg 2.72
17 Br 0.5945 0.2310 0.6927  1 Hg 2.72
18 Br 0.5945 0.2690 0.1927  1 Hg 2.72